[1]
# Tb2PmHo5 PBE optimized geometry
data_Tb2PmHo5
_cell_length_a 5.757
_cell_length_b 11.105
_cell_length_c 8.486
_cell_angle_alpha 90.00
_cell_angle_beta 106.57
_cell_angle_gamma 90.00
_symmetry_space_group_name_H-M 'P 1 21/m 1'
_symmetry_Int_Tables_number 11
_symmetry_space_group_name_Hall '-P 2yb'
loop_
_atom_site_label
_atom_site_fract_x
_atom_site_fract_y
_atom_site_fract_z
Tb1 0.119 0.115 0.039
Pm1 0.495 0.750 0.153
Ho1 0.198 0.578 0.381
Ho2 0.236 0.250 0.420
Ho3 0.330 0.577 0.788
# DOS(E_F): 25.54 states/eV per cell
# Relative energy among the computed polymorphs: 172 meV/atom

=====

[2]
# Tb4Pm5Ho3 PBE optimized geometry
data_Tb4Pm5Ho3
_cell_length_a 6.213
_cell_length_b 7.172
_cell_length_c 8.788
_cell_angle_alpha 90.04
_cell_angle_beta 90.16
_cell_angle_gamma 90.14
_symmetry_space_group_name_H-M 'P -1'
_symmetry_Int_Tables_number 2
_symmetry_space_group_name_Hall '-P 1'
loop_
_atom_site_label
_atom_site_fract_x
_atom_site_fract_y
_atom_site_fract_z
Tb1 0.166 0.000 0.165
Tb2 0.334 0.249 0.834
Pm1 0.001 0.750 0.500
Pm2 0.169 0.500 0.165
Pm3 0.500 0.000 0.500
Ho1 0.333 0.751 0.834
Ho2 0.500 0.500 0.500
# DOS(E_F): 15.40 states/eV per cell
# Relative energy among the computed polymorphs: 0 meV/atom

=====

[3]
# Tb3Pm2Ho7 PBE optimized geometry
data_Tb3Pm2Ho7
_cell_length_a 5.776
_cell_length_b 3.572
_cell_length_c 18.688
_cell_angle_alpha 90.00
_cell_angle_beta 93.42
_cell_angle_gamma 90.00
_symmetry_space_group_name_H-M 'P 1 2/m 1'
_symmetry_Int_Tables_number 10
_symmetry_space_group_name_Hall '-P 2y'
loop_
_atom_site_label
_atom_site_fract_x
_atom_site_fract_y
_atom_site_fract_z
Tb1 0.000 0.000 0.000
Tb2 0.279 0.500 0.631
Pm1 0.207 0.000 0.293
Ho1 0.184 0.500 0.142
Ho2 0.242 0.000 0.462
Ho3 0.314 0.000 0.826
Ho4 0.500 0.500 0.000
# DOS(E_F): 14.49 states/eV per cell
# Relative energy among the computed polymorphs: 16 meV/atom

=====

[4]
# Tb2PmHo5 PBE optimized geometry
data_Tb2PmHo5
_cell_length_a 7.102
_cell_length_b 14.207
_cell_length_c 5.009
_cell_angle_alpha 90.00
_cell_angle_beta 90.00
_cell_angle_gamma 90.00
_symmetry_space_group_name_H-M 'P b a m'
_symmetry_Int_Tables_number 55
_symmetry_space_group_name_Hall '-P 2 2ab'
loop_
_atom_site_label
_atom_site_fract_x
_atom_site_fract_y
_atom_site_fract_z
Tb1 0.249 0.126 0.000
Pm1 0.000 0.500 0.500
Ho1 0.000 0.000 0.500
Ho2 0.000 0.249 0.500
Ho3 0.250 0.374 0.000
# DOS(E_F): 18.59 states/eV per cell
# Relative energy among the computed polymorphs: 0 meV/atom

=====

[5]
# Tb2PmHo2 PBE optimized geometry
data_Tb2PmHo2
_cell_length_a 9.352
_cell_length_b 9.352
_cell_length_c 3.730
_cell_angle_alpha 90.00
_cell_angle_beta 90.00
_cell_angle_gamma 90.00
_symmetry_space_group_name_H-M 'P 4/m b m'
_symmetry_Int_Tables_number 127
_symmetry_space_group_name_Hall '-P 4 2ab'
loop_
_atom_site_label
_atom_site_fract_x
_atom_site_fract_y
_atom_site_fract_z
Tb1 0.126 0.374 0.000
Pm1 0.000 0.000 0.000
Ho1 0.171 0.671 0.500
# DOS(E_F): 9.83 states/eV per cell
# Relative energy among the computed polymorphs: 0 meV/atom

=====

[6]
# TbPm5Ho PBE optimized geometry
data_TbPm5Ho
_cell_length_a 5.881
_cell_length_b 8.790
_cell_length_c 12.084
_cell_angle_alpha 90.00
_cell_angle_beta 90.00
_cell_angle_gamma 90.00
_symmetry_space_group_name_H-M 'I m m m'
_symmetry_Int_Tables_number 71
_symmetry_space_group_name_Hall '-I 2 2'
loop_
_atom_site_label
_atom_site_fract_x
_atom_site_fract_y
_atom_site_fract_z
Tb1 0.000 0.000 0.000
Pm1 0.000 0.000 0.252
Pm2 0.000 0.323 0.500
Pm3 0.000 0.500 0.000
Ho1 0.000 0.000 0.500
# DOS(E_F): 23.78 states/eV per cell
# Relative energy among the computed polymorphs: 834 meV/atom

=====

[7]
# Tb15PmHo4 PBE optimized geometry
data_Tb15PmHo4
_cell_length_a 5.032
_cell_length_b 5.032
_cell_length_c 25.159
_cell_angle_alpha 90.00
_cell_angle_beta 90.00
_cell_angle_gamma 90.00
_symmetry_space_group_name_H-M 'P 4/m m m'
_symmetry_Int_Tables_number 123
_symmetry_space_group_name_Hall '-P 4 2'
loop_
_atom_site_label
_atom_site_fract_x
_atom_site_fract_y
_atom_site_fract_z
Tb1 0.000 0.000 0.000
Tb2 0.000 0.000 0.201
Tb3 0.000 0.000 0.400
Tb4 0.000 0.500 0.101
Tb5 0.000 0.500 0.301
Tb6 0.000 0.500 0.500
Pm1 0.500 0.500 0.000
Ho1 0.500 0.500 0.201
Ho2 0.500 0.500 0.400
# DOS(E_F): 26.80 states/eV per cell
# Calculated total energy: -4.61 eV/atom

=====

[8]
# Tb5Pm2Ho PBE optimized geometry
data_Tb5Pm2Ho
_cell_length_a 5.900
_cell_length_b 10.839
_cell_length_c 8.655
_cell_angle_alpha 90.00
_cell_angle_beta 107.02
_cell_angle_gamma 90.00
_symmetry_space_group_name_H-M 'P 1 21/m 1'
_symmetry_Int_Tables_number 11
_symmetry_space_group_name_Hall '-P 2yb'
loop_
_atom_site_label
_atom_site_fract_x
_atom_site_fract_y
_atom_site_fract_z
Tb1 0.204 0.083 0.231
Tb2 0.251 0.750 0.558
Tb3 0.296 0.087 0.626
Pm1 0.344 0.608 0.951
Ho1 0.041 0.250 0.867
# DOS(E_F): 24.74 states/eV per cell
# Relative energy among the computed polymorphs: 166 meV/atom